No. 1
VASP calculation (PBE-GGA) on crystalline La4Tb5Pr2 at its relaxed geometry.

The structure in CIF format:
```
data_La4Tb5Pr2
_chemical_formula_sum 'La4 Tb5 Pr2'
_cell_length_a 10.173
_cell_length_b 10.173
_cell_length_c 6.771
_cell_angle_alpha 90.84
_cell_angle_beta 90.84
_cell_angle_gamma 33.17
_space_group_name_H-M_alt 'P 1'
_space_group_IT_number 1
_space_group_name_Hall 'P 1'
loop_
_atom_site_label
_atom_site_type_symbol
_atom_site_fract_x
_atom_site_fract_y
_atom_site_fract_z
La1 La 0.020 0.020 0.290
La2 La 0.306 0.306 0.922
La3 La 0.694 0.694 0.078
La4 La 0.980 0.980 0.710
Tb1 Tb 0.131 0.131 0.890
Tb2 Tb 0.210 0.210 0.402
Tb3 Tb 0.500 0.500 0.000
Tb4 Tb 0.790 0.790 0.598
Tb5 Tb 0.869 0.869 0.110
Pr1 Pr 0.401 0.401 0.446
Pr2 Pr 0.599 0.599 0.554
```

Summary:
As for the energy relative to the lowest polymorph listed for this composition: 0.0 meV per atom. The space group is No. 12. The total energy is -0.1717 hartree per atom.

=====

No. 2
VASP calculation (PBE-GGA) on crystalline HfNp2US4 at its relaxed geometry.

The structure in CIF format:
```
data_HfNp2US4
_chemical_formula_sum 'Hf1 Np2 U1 S4'
_cell_length_a 6.462
_cell_length_b 3.798
_cell_length_c 6.759
_cell_angle_alpha 90.00
_cell_angle_beta 109.10
_cell_angle_gamma 90.00
_space_group_name_H-M_alt 'P 1'
_space_group_IT_number 1
_space_group_name_Hall 'P 1'
loop_
_atom_site_label
_atom_site_type_symbol
_atom_site_fract_x
_atom_site_fract_y
_atom_site_fract_z
Hf1 Hf 0.000 0.000 0.000
Np1 Np 0.500 0.000 0.500
Np2 Np 0.500 0.500 0.000
U1 U 0.000 0.500 0.500
S1 S 0.237 0.500 0.237
S2 S 0.244 0.000 0.758
S3 S 0.756 0.000 0.242
S4 S 0.763 0.500 0.763
```

Summary:
The space group is No. 10. The calculation puts the formation energy (no corrections) at -1356 meV per atom. The total energy is -0.3421 hartree per atom.

=====

No. 3
VASP calculation (PBE-GGA) on crystalline In2CuAu at its relaxed geometry.

The structure in CIF format:
```
data_In2CuAu
_chemical_formula_sum 'In2 Cu1 Au1'
_cell_length_a 3.147
_cell_length_b 3.147
_cell_length_c 7.898
_cell_angle_alpha 90.00
_cell_angle_beta 90.00
_cell_angle_gamma 90.00
_space_group_name_H-M_alt 'P 1'
_space_group_IT_number 1
_space_group_name_Hall 'P 1'
loop_
_atom_site_label
_atom_site_type_symbol
_atom_site_fract_x
_atom_site_fract_y
_atom_site_fract_z
In1 In 0.000 0.000 0.231
In2 In 0.000 0.000 0.769
Cu1 Cu 0.500 0.500 0.000
Au1 Au 0.500 0.500 0.500
```

Summary:
The space group is No. 123. The total energy is -0.1167 hartree per atom.

=====

No. 4
VASP calculation (PBE-GGA) on crystalline Er2TmTh at its relaxed geometry.

The structure in CIF format:
```
data_Er2TmTh
_chemical_formula_sum 'Er2 Tm1 Th1'
_cell_length_a 11.595
_cell_length_b 11.595
_cell_length_c 11.595
_cell_angle_alpha 17.57
_cell_angle_beta 17.57
_cell_angle_gamma 17.57
_space_group_name_H-M_alt 'P 1'
_space_group_IT_number 1
_space_group_name_Hall 'P 1'
loop_
_atom_site_label
_atom_site_type_symbol
_atom_site_fract_x
_atom_site_fract_y
_atom_site_fract_z
Er1 Er 0.249 0.249 0.249
Er2 Er 0.751 0.751 0.751
Tm1 Tm 0.000 0.000 0.000
Th1 Th 0.500 0.500 0.500
```

Summary:
As for the energy relative to the lowest polymorph listed for this composition: 34.9 meV per atom. The space group is No. 166. The total energy is -0.1921 hartree per atom.